(1)
The following is a GGA-PBE calculation of a relaxed structure of BaMg6Cd6, from Alexandria via LeMat-Bulk.

Values from the calculation:
E above lowest polymorph in eV per atom: 0.000
DFT formation energy in eV/atom: -0.158

Cell lengths 5.9345, 7.8742, 7.8742 Å; angles 81.33, 67.86, 67.86 degrees
Closest atoms and distances in Å follow each position.
Atoms (fractional coordinates):
Ba 0.0000 0.0000 0.0000  8 Mg 3.65-3.73, 12 Cd 3.73-3.94
Mg 0.3554 0.6446 0.6446  3 Mg 3.00-3.29, 6 Cd 3.16-3.23
Mg 0.6446 0.3554 0.3554  3 Mg 3.00-3.29, 6 Cd 3.16-3.23
Mg 0.0000 0.3554 0.6446  3 Mg 2.97-3.28, 6 Cd 3.18-3.27
Mg 0.0000 0.6446 0.3554  3 Mg 2.97-3.28, 6 Cd 3.18-3.27
Mg 0.2824 0.2176 0.2176  6 Cd 2.98-3.20, 4 Mg 3.28-3.29
Mg 0.7176 0.7824 0.7824  6 Cd 2.98-3.20, 4 Mg 3.28-3.29
Cd 0.0000 0.5000 0.0000  4 Cd 2.97-3.00, 6 Mg 2.98-3.18
Cd 0.5000 0.5000 0.0000  4 Cd 2.97-3.00, 6 Mg 2.98-3.18
Cd 0.0000 0.0000 0.5000  4 Cd 2.97-3.00, 6 Mg 2.98-3.18
Cd 0.5000 0.0000 0.5000  4 Cd 2.97-3.00, 6 Mg 2.98-3.18
Cd 0.5000 0.7791 0.2209  4 Cd 3.00, 6 Mg 3.20-3.27
Cd 0.5000 0.2209 0.7791  4 Cd 3.00, 6 Mg 3.20-3.27


(2)
The following is a GGA-PBE calculation of a relaxed structure of BaMgCd6, from Alexandria via LeMat-Bulk.

Values from the calculation:
E above lowest polymorph in eV per atom: 0.000
DFT formation energy in eV/atom: -0.152

Cell lengths 4.9200, 4.9200, 10.6390 Å; angles 76.63, 76.63, 60.00 degrees
Closest atoms and distances in Å follow each position.
Atoms (fractional coordinates):
Ba 0.5000 0.5000 0.5000  6 Cd 3.53
Mg 0.0000 0.0000 0.0000  8 Cd 3.03
Cd 0.6326 0.6326 0.1022  3 Mg 3.03, 4 Cd 3.11-3.36
Cd 0.0984 0.0984 0.7047  3 Cd 2.93, 1 Mg 3.03
Cd 0.9016 0.9016 0.2953  3 Cd 2.93, 1 Mg 3.03
Cd 0.3674 0.3674 0.8978  3 Mg 3.03, 4 Cd 3.11-3.36
Cd 0.2582 0.2582 0.2254  6 Cd 2.93-3.11
Cd 0.7418 0.7418 0.7746  6 Cd 2.93-3.11


(3)
The following is a GGA-PBE calculation of a relaxed structure of Ba2MgCdN, from Alexandria via LeMat-Bulk.

Values from the calculation:
Uncorrected formation energy in eV per formula unit: -1.49

Cell lengths 5.9363, 5.9363, 4.1772 Å; angles 90.00, 90.00, 90.00 degrees
Closest atoms and distances in Å follow each position.
Atoms (fractional coordinates):
Mg 0.0000 0.0000 0.5000  2 N 2.09
N 0.0000 0.0000 0.0000  2 Mg 2.09
Ba 0.0000 0.5000 0.0000  2 N 2.97
Ba 0.5000 0.0000 0.0000  2 N 2.97
Cd 0.5000 0.5000 0.5000  8 Ba 3.63


Number 1: calculated volume 315.69 Å³ per cell, total magnetization 0.00 μB/cell. Number 2: calculated volume 214.93 Å³ per cell, total magnetization 0.00 μB/cell. Number 3: calculated volume 147.20 Å³ per cell, total magnetization 0.00 μB/cell.